Here is an optimized crystal structure of Zn2OsSe from the Alexandria database. Energies are from PBE.

Cell: 6.3819 6.3819 6.3819 Å, 153.57 141.22 47.54°
Sites, in units of the cell vectors:
Zn 0.0000 0.0000 0.0000
Zn 0.6552 0.1552 0.5000
Os 0.1897 0.6897 0.5000
Se 0.3608 0.3608 0.0000

## Properties
As for the density of states at the Fermi level: 2.00 states/eV/cell. Its space-group type is No. 44. As for the formation energy without anion corrections: 0.1358 eV per atom.

Here is an optimized crystal structure of SrTeW2 from the Alexandria database. Energies are from PBE.

Cell: 6.0338 6.0338 6.0338 Å, 140.32 140.32 57.37°
Sites, in units of the cell vectors:
Sr 0.0000 0.0000 0.0000
Te 0.5000 0.5000 0.0000
W 0.2500 0.7500 0.5000
W 0.7500 0.2500 0.5000

## Properties
As for the density of states at the Fermi level: 4.54 states/eV/cell. Its space-group type is No. 139. As for the formation energy without anion corrections: 1.0588 eV per atom.